Record 1
{
  "formula": "AgMo2P",
  "functional": "PBEsol",
  "state": "optimized geometry",
  "space_group": "Cm, No. 8",
  "e_form_ev_per_atom": 0.169,
  "total_energy_ev_per_cell": -31.96,
  "dos_at_fermi_per_ev_atom": 0.442,
  "lattice_angstrom": [[3.233, 0.000, 0.000], [0.000, 4.625, -0.301], [-1.617, -2.092, 4.179]],
  "species": ["P", "Mo", "Ag", "Mo"],
  "frac_coords": [[0.493, 0.378, 0.986], [0.999, 0.020, 0.998], [0.213, 0.756, 0.425], [0.795, 0.346, 0.590]]
}

Record 2
{
  "formula": "KSeI2O",
  "functional": "PBEsol",
  "state": "optimized geometry",
  "space_group": "P4/mmm, No. 123",
  "total_energy_ev_per_cell": -10.42,
  "formation_energy_uncorrected_ev_per_atom": 0.67,
  "dos_at_fermi_per_ev_atom": 1.667,
  "lattice_angstrom": [[-0.784, 3.890, 2.032], [0.964, -2.653, 5.451], [5.966, 1.397, -0.375]],
  "species": ["Se", "I", "O", "K", "I"],
  "frac_coords": [[0.500, 0.500, 0.500], [0.000, 0.000, 0.500], [0.500, 0.000, 0.000], [0.000, 0.000, 0.000], [0.000, 0.500, 0.000]]
}

Record 3
{
  "formula": "InPtCl2",
  "functional": "PBEsol",
  "state": "optimized geometry",
  "space_group": "Pmmm, No. 47",
  "total_energy_ev_per_cell": -13.95,
  "formation_energy_uncorrected_ev_per_atom": 0.00,
  "dos_at_fermi_per_ev_atom": 0.548,
  "lattice_angstrom": [[-0.530, -2.368, -1.985], [4.074, -1.461, 0.655], [-1.766, -3.071, 4.134]],
  "species": ["Cl", "In", "Cl", "Pt"],
  "frac_coords": [[0.000, 0.000, 0.000], [0.500, 0.500, 0.000], [0.500, 0.000, 0.500], [0.000, 0.500, 0.500]]
}